# 1
Entry from Alexandria via LeMat-Bulk: NaLaH2S2O9 after structural relaxation (GGA-PBEsol).

Values from the calculation:
Calculated total energy   -294.2 eV for the cell shown

```
NaLaH2S2O9
1.0
7.021 0.000 0.000
-3.511 6.081 0.000
0.000 0.000 12.959
Na La H S O
3 3 6 6 27
Cartesian
-1.667 2.887 2.160
3.333 0.000 10.799
1.844 3.194 6.479
-1.515 2.623 8.639
3.029 0.000 4.320
1.996 3.457 0.000
-0.078 0.647 4.754
-2.912 5.825 0.435
0.599 0.256 8.205
2.990 5.690 9.074
3.433 5.434 3.885
6.500 0.391 12.524
-1.502 2.759 11.807
-0.370 6.002 7.488
3.140 0.079 1.152
1.872 3.401 3.168
2.009 3.322 9.791
5.383 2.680 5.471
-0.260 0.450 8.639
0.520 0.000 4.320
-1.345 3.760 4.503
-0.448 2.380 6.319
-1.294 3.895 10.870
-0.272 2.465 12.584
-1.240 5.084 8.265
-1.226 5.278 1.999
0.785 3.013 2.231
0.927 3.036 8.823
2.285 0.802 6.640
2.271 0.997 0.374
2.217 2.186 10.728
2.166 2.321 4.136
0.418 5.366 0.184
0.509 5.254 6.551
1.512 4.612 3.945
1.673 4.503 10.638
3.929 0.715 8.456
4.020 0.827 2.088
3.063 3.700 2.321
3.238 3.616 9.014
5.023 1.468 4.694
4.295 3.068 6.408
5.184 1.578 10.960
4.438 3.045 12.775
3.251 5.630 0.000
```



# 2
Entry from Alexandria via LeMat-Bulk: Ni8Mo after structural relaxation (GGA-PBEsol).

Values from the calculation:
Calculated formation energy   -0.0652 eV/atom

```
Ni8Mo
1.0
-3.712 3.712 1.762
3.712 -3.712 1.762
3.712 3.712 -1.762
Ni Mo
8 1
Cartesian
2.481 0.000 0.000
4.943 0.000 0.000
2.470 2.470 0.000
1.242 -1.242 1.762
0.000 2.481 0.000
0.000 4.943 0.000
-1.242 1.242 1.762
1.242 1.242 1.762
0.000 0.000 0.000
```



# 3
Entry from Alexandria via LeMat-Bulk: MgAsIr2 after structural relaxation (GGA-PBEsol).

Values from the calculation:
Energy above the lowest structure with this stoichiometry   0.64 eV per formula unit
Calculated formation energy   -0.0137 eV/atom

```
MgAsIr2
1.0
-1.878 1.878 4.160
1.878 -1.878 4.160
1.878 1.878 -4.160
Mg As Ir
1 1 2
Cartesian
0.000 0.000 0.000
0.000 1.878 2.080
1.878 0.000 2.080
0.000 0.000 4.160
```



# 4
Entry from Alexandria via LeMat-Bulk: AsPt2Pb after structural relaxation (GGA-PBEsol).

Values from the calculation:
Calculated formation energy   0.0293 eV/atom

```
AsPt2Pb
1.0
-1.706 2.343 4.608
1.706 -2.343 4.608
1.706 2.343 -4.608
As Pt Pb
1 2 1
Cartesian
0.000 0.000 0.000
0.000 0.000 5.135
0.000 2.343 2.763
1.706 0.000 2.565
```



What did we get for total moment? Answer: 0.00 0.00 0.00 0.00 μB per formula unit, in the order shown.
What did we get for D(E_F)? Answer: 0.0 13.1 3.3 2.0 states/eV per cell, in the order shown.